Entry 1:
Compound: KPmTlO3
Source: Alexandria
Functional: PBE-GGA
Structure: optimized geometry

```
KPmTlO3
1.0
7.1049 0.0000 0.0000
0.0000 3.6012 0.0000
-3.2945 0.0000 10.8117
K Pm Tl O
2 2 2 6
Direct
0.0593 0.2500 0.3086
0.9407 0.7500 0.6914
0.4458 0.2500 0.6208
0.5542 0.7500 0.3792
0.4343 0.7500 0.8819
0.5657 0.2500 0.1181
0.2569 0.2500 0.7764
0.3162 0.7500 0.4852
0.3950 0.2500 0.2517
0.6050 0.7500 0.7483
0.6838 0.2500 0.5148
0.7431 0.7500 0.2236
```

Entry 2:
Compound: K3PmTl2O6
Source: Alexandria
Functional: PBE-GGA
Structure: optimized geometry

```
K3PmTl2O6
1.0
3.0491 -5.2826 0.0000
3.0491 5.2826 0.0000
-2.0222 0.0000 6.2945
K Pm Tl O
3 1 2 6
Direct
0.0000 0.0000 0.0000
0.3289 0.6711 0.0000
0.6711 0.3289 0.0000
0.5000 0.5000 0.5000
0.1662 0.8338 0.5000
0.8338 0.1662 0.5000
0.0978 0.4344 0.3025
0.2293 0.2293 0.6986
0.4344 0.0978 0.3025
0.5656 0.9022 0.6975
0.7707 0.7707 0.3014
0.9022 0.5656 0.6975
```

Entry 3:
Compound: K2Pm2TlO6
Source: Alexandria
Functional: PBE-GGA
Structure: optimized geometry

```
K2Pm2TlO6
1.0
3.0100 -5.5826 0.0000
3.0100 5.5826 0.0000
-1.6618 0.0000 6.4110
K Pm Tl O
2 2 1 6
Direct
0.1579 0.8421 0.0000
0.8421 0.1579 0.0000
0.3352 0.6648 0.5000
0.6648 0.3352 0.5000
0.0000 0.0000 0.5000
0.0453 0.4132 0.6920
0.2515 0.2515 0.3297
0.4132 0.0453 0.6920
0.5868 0.9547 0.3080
0.7485 0.7485 0.6703
0.9547 0.5868 0.3080
```

Entry 4:
Compound: K2PmTl2O4
Source: Alexandria
Functional: PBE-GGA
Structure: optimized geometry

```
K2PmTl2O4
1.0
6.4135 -1.8031 0.0000
6.4135 1.8031 0.0000
-2.7718 0.0000 8.2451
K Pm Tl O
2 1 2 4
Direct
0.2184 0.2184 0.2940
0.7816 0.7816 0.7060
0.0000 0.0000 0.5000
0.4414 0.4414 0.1395
0.5586 0.5586 0.8605
0.1363 0.1363 0.7641
0.4162 0.4162 0.5990
0.5838 0.5838 0.4010
0.8637 0.8637 0.2359
```

no.,ΔE_f (raw) (meV/atom)
1,-1901
2,-1551
3,-1980
4,-1621